Compound: PrDy3Y3
Source: Alexandria
Functional: GGA-PBE
Structure: optimized geometry

POSCAR file:
```
PrDy3Y3
1.0
7.185 0.000 0.000
-2.395 6.139 0.000
-2.395 -3.070 5.317
Dy Y Pr
3 3 1
Direct
0.460 0.447 0.000
0.013 0.553 0.553
0.460 0.000 0.447
0.972 0.378 0.000
0.972 0.000 0.378
0.594 0.622 0.622
0.504 0.000 0.000
```

Values from the calculation:
For the total DFT energy (no corrections), the calculation gives -36.02 eV per cell. The total magnetic moment is 0.000 μB/atom. Its space-group type is R3m, No. 160.

Compound: PrDyY
Source: Alexandria
Functional: GGA-PBE
Structure: optimized geometry

POSCAR file:
```
PrDyY
1.0
3.613 0.000 0.000
-1.806 3.129 0.000
0.000 0.000 8.819
Pr Y Dy
1 1 1
Direct
0.000 0.000 0.001
0.333 0.667 0.662
0.667 0.333 0.337
```

Values from the calculation:
For the total DFT energy (no corrections), the calculation gives -15.79 eV per cell. The total magnetic moment is 0.000 μB/atom. Its space-group type is P3m1, No. 156.

Compound: Pr8DyY4
Source: Alexandria
Functional: GGA-PBE
Structure: optimized geometry

POSCAR file:
```
Pr8DyY4
1.0
-9.660 -6.269 5.339
5.706 -4.911 -0.811
6.986 7.981 0.820
Y Pr Dy
4 8 1
Direct
0.500 0.000 0.000
0.500 0.500 0.000
0.000 0.500 0.000
0.000 0.000 0.000
0.527 0.264 0.334
0.000 0.785 0.292
0.473 0.736 0.666
0.000 0.785 0.708
0.527 0.263 0.720
0.000 0.215 0.708
0.000 0.215 0.292
0.473 0.737 0.280
0.000 0.500 0.500
```

Values from the calculation:
For the total DFT energy (no corrections), the calculation gives -65.95 eV per cell. The total magnetic moment is 0.000 μB/atom. Its space-group type is Cmmm, No. 65.

Compound: Pr4DyY
Source: Alexandria
Functional: GGA-PBE
Structure: optimized geometry

POSCAR file:
```
Pr4DyY
1.0
-3.386 -0.309 -0.889
-1.043 -5.771 5.976
-1.984 6.036 5.453
Pr Dy Y
4 1 1
Direct
0.500 0.260 0.740
0.500 0.740 0.260
0.000 0.761 0.761
0.000 0.239 0.239
0.500 0.000 0.000
0.000 0.500 0.500
```

Values from the calculation:
For the total DFT energy (no corrections), the calculation gives -26.59 eV per cell. The total magnetic moment is 0.000 μB/atom. Its space-group type is Cmmm, No. 65.

Compound: Pr2Dy3Y8
Source: Alexandria
Functional: GGA-PBE
Structure: optimized geometry

POSCAR file:
```
Pr2Dy3Y8
1.0
-2.167 -1.333 4.997
6.758 -2.855 2.168
-0.624 10.757 2.599
Dy Y Pr
3 8 2
Direct
0.500 0.000 0.000
0.000 0.714 0.000
0.000 0.286 0.000
0.500 0.819 0.211
0.000 0.129 0.258
0.500 0.607 0.789
0.500 0.393 0.211
0.000 0.871 0.742
0.000 0.337 0.674
0.500 0.181 0.789
0.000 0.663 0.326
0.500 0.759 0.519
0.500 0.241 0.481
```

Values from the calculation:
For the total DFT energy (no corrections), the calculation gives -71.94 eV per cell. The total magnetic moment is 0.000 μB/atom. Its space-group type is Cmmm, No. 65.

Compound: Pr7DyY4
Source: Alexandria
Functional: GGA-PBE
Structure: optimized geometry

POSCAR file:
```
Pr7DyY4
1.0
6.067 0.000 0.000
3.033 9.187 2.012
3.033 1.810 7.987
Dy Pr Y
1 7 4
Direct
0.000 0.000 0.000
0.209 0.769 0.813
0.790 0.881 0.539
0.084 0.556 0.277
0.210 0.119 0.461
0.500 0.000 0.000
0.916 0.444 0.723
0.791 0.231 0.187
0.329 0.388 0.955
0.671 0.612 0.045
0.428 0.698 0.445
0.572 0.302 0.555
```

Values from the calculation:
For the total DFT energy (no corrections), the calculation gives -61.44 eV per cell. The total magnetic moment is 0.000 μB/atom. Its space-group type is C2/m, No. 12.

Compound: PrDy6Y4
Source: Alexandria
Functional: GGA-PBE
Structure: optimized geometry

POSCAR file:
```
PrDy6Y4
1.0
-1.246 -5.293 5.272
7.425 -1.464 0.285
-2.367 7.973 2.005
Dy Y Pr
6 4 1
Direct
0.000 0.500 0.000
0.448 0.920 0.368
0.500 0.000 0.000
0.920 0.448 0.368
0.552 0.552 0.632
0.080 0.080 0.632
0.086 0.754 0.840
0.914 0.914 0.160
0.754 0.086 0.840
0.246 0.246 0.160
0.500 0.500 0.000
```

Values from the calculation:
For the total DFT energy (no corrections), the calculation gives -53.32 eV per cell. The total magnetic moment is 0.000 μB/atom. Its space-group type is I-42m, No. 121.

Compound: Pr12DyY5
Source: Alexandria
Functional: GGA-PBE
Structure: optimized geometry

POSCAR file:
```
Pr12DyY5
1.0
-3.283 3.927 14.637
-6.643 -4.000 7.786
3.833 -3.082 1.687
Pr Y Dy
12 5 1
Direct
0.668 0.333 0.000
0.001 0.667 0.000
0.334 0.000 0.000
0.167 0.333 0.500
0.501 0.667 0.500
0.332 0.667 0.000
0.499 0.333 0.500
0.835 0.000 0.500
0.999 0.333 0.000
0.165 0.000 0.500
0.833 0.667 0.500
0.666 0.000 0.000
0.166 0.667 0.500
0.834 0.333 0.500
0.667 0.667 0.000
0.333 0.333 0.000
0.500 0.000 0.500
0.000 0.000 0.000
```

Values from the calculation:
For the total DFT energy (no corrections), the calculation gives -93.94 eV per cell. The total magnetic moment is 0.000 μB/atom. Its space-group type is P2/m, No. 10.

Compound: Pr5Dy6Y
Source: Alexandria
Functional: GGA-PBE
Structure: optimized geometry

POSCAR file:
```
Pr5Dy6Y
1.0
-10.858 -2.920 3.950
0.917 -6.062 1.354
1.934 -1.679 5.733
Pr Dy Y
5 6 1
Direct
0.500 0.833 0.334
0.000 0.334 0.333
0.500 0.167 0.666
0.000 0.666 0.667
0.500 0.500 0.000
0.751 0.750 0.000
0.751 0.416 0.667
0.249 0.584 0.333
0.249 0.250 0.000
0.249 0.917 0.667
0.751 0.083 0.333
0.000 0.000 0.000
```

Values from the calculation:
For the total DFT energy (no corrections), the calculation gives -57.81 eV per cell. The total magnetic moment is 0.000 μB/atom. Its space-group type is C2/m, No. 12.

Compound: PrDy6Y5
Source: Alexandria
Functional: GGA-PBE
Structure: optimized geometry

POSCAR file:
```
PrDy6Y5
1.0
11.729 -1.606 0.000
1.886 5.885 0.000
0.943 2.943 5.348
Y Pr Dy
5 1 6
Direct
0.000 0.667 0.667
0.500 0.500 0.000
0.000 0.333 0.333
0.500 0.833 0.334
0.500 0.167 0.666
0.000 0.000 0.000
0.251 0.250 0.000
0.748 0.083 0.333
0.749 0.750 0.000
0.252 0.917 0.667
0.748 0.417 0.667
0.252 0.583 0.333
```

Values from the calculation:
For the total DFT energy (no corrections), the calculation gives -64.47 eV per cell. The total magnetic moment is 0.000 μB/atom. Its space-group type is C2/m, No. 12.

Compound: Pr8Dy4Y
Source: Alexandria
Functional: GGA-PBE
Structure: optimized geometry

POSCAR file:
```
Pr8Dy4Y
1.0
11.783 -0.564 -2.481
-9.611 10.346 -3.370
-1.473 -3.033 5.946
Dy Pr Y
4 8 1
Direct
0.945 0.937 0.788
0.446 0.459 0.811
0.416 0.855 0.891
0.847 0.349 0.851
0.320 0.612 0.007
0.994 0.721 0.482
0.985 0.154 0.635
0.501 0.676 0.662
0.234 0.819 0.218
0.150 0.021 0.457
0.854 0.142 0.017
0.594 0.461 0.456
0.714 0.294 0.224
```

Values from the calculation:
For the total DFT energy (no corrections), the calculation gives -61.53 eV per cell. The total magnetic moment is 0.000 μB/atom. Its space-group type is P1, No. 1.

Compound: Pr5Dy4Y2
Source: Alexandria
Functional: GGA-PBE
Structure: optimized geometry

POSCAR file:
```
Pr5Dy4Y2
1.0
6.813 0.000 0.000
3.406 8.012 2.647
3.406 4.823 8.528
Y Dy Pr
2 4 5
Direct
0.796 0.096 0.312
0.204 0.904 0.688
0.591 0.226 0.591
0.409 0.774 0.409
0.245 0.332 0.178
0.755 0.668 0.822
0.356 0.728 0.094
0.177 0.272 0.906
0.823 0.728 0.094
0.000 0.500 0.500
0.644 0.272 0.906
```

Values from the calculation:
For the total DFT energy (no corrections), the calculation gives -53.41 eV per cell. The total magnetic moment is 0.000 μB/atom. Its space-group type is C2/m, No. 12.

In kJ/mol of atoms, the DFT formation energy values for the records above are, in order, 26.9 1.7 20.3 57.7 23.3 19.9 43.2 1.8 1.3 1.9 11.7 16.0.